No. 1
K4CaNi GGA-PBE relaxed; energy of formation = 4.212 eV/f.u.; space group = F-43m, No. 216
1.0
0.0000 5.3148 5.3148
5.3148 0.0000 5.3148
5.3148 5.3148 0.0000
K Ca Ni
4 1 1
direct
0.3763 0.8712 0.3763
0.8712 0.3763 0.3763
0.3763 0.3763 0.8712
0.3763 0.3763 0.3763
0.0000 0.0000 0.0000
0.7500 0.7500 0.7500


No. 2
Pr3Ga8Pt3 GGA-PBE relaxed; energy above the lowest structure with this stoichiometry = 0.000 eV per atom; energy of formation = -10.959 eV/f.u.; space group = C2/m, No. 12
1.0
4.3460 0.0000 1.1463
1.4127 7.4497 3.4555
0.0961 -0.0856 8.4470
Pr Ga Pt
3 8 3
direct
0.2910 0.7193 0.6986
0.7090 0.2807 0.3014
0.0000 0.0000 0.0000
0.1377 0.1496 0.5750
0.8623 0.8504 0.4250
0.8456 0.4377 0.8711
0.1544 0.5623 0.1289
0.5045 0.6698 0.3212
0.4955 0.3302 0.6788
0.3467 0.0207 0.2859
0.6533 0.9793 0.7141
0.0000 0.5000 0.5000
0.6492 0.7051 0.9965
0.3508 0.2949 0.0035


No. 3
V2FeNi5 GGA-PBE relaxed; energy of formation = -1.527 eV/f.u.; space group = Pbam, No. 55
1.0
-0.7153 -1.2361 3.2021
3.5960 -3.5194 -0.5553
6.8156 6.3378 3.9691
V Fe Ni
4 2 10
direct
0.5000 0.2315 0.6199
0.5000 0.7685 0.3801
0.5000 0.2685 0.1199
0.5000 0.7315 0.8801
0.0000 0.0000 0.5000
0.0000 0.5000 0.0000
0.0000 0.0000 0.0000
0.0000 0.5000 0.5000
0.0000 0.4823 0.7494
0.0000 0.5177 0.2506
0.0000 0.0177 0.2494
0.0000 0.9823 0.7506
0.5000 0.2382 0.8733
0.5000 0.7618 0.1267
0.5000 0.2618 0.3733
0.5000 0.7382 0.6267


No. 4
Cs4Hg3Au2 GGA-PBE relaxed; energy of formation = -2.253 eV/f.u.; space group = C2/m, No. 12
1.0
4.9091 0.0000 -1.3536
-0.7258 7.9285 -2.6325
0.1792 0.1057 10.2289
Cs Hg Au
4 3 2
direct
0.2316 0.6977 0.4633
0.7684 0.3023 0.5367
0.5633 0.8435 0.1266
0.4367 0.1565 0.8734
0.1019 0.2439 0.2038
0.8981 0.7561 0.7962
0.0000 0.5000 0.0000
0.3898 0.5573 0.7796
0.6102 0.4427 0.2204


No. 5
TePd2W GGA-PBE relaxed; formation energy from raw total energies = 9.179 kcal/mol of atoms; space group = I-42d, No. 122
1.0
-6.6082 -1.2201 3.0340
3.2674 -2.1849 6.2380
-1.7195 0.8521 5.5564
Te Pd W
2 4 2
direct
0.5000 0.5000 0.0000
0.2500 0.7500 0.5000
0.6283 0.1250 0.2500
0.1217 0.6250 0.2500
0.3750 0.3717 0.7500
0.8750 0.8783 0.7500
0.0000 0.0000 0.0000
0.7500 0.2500 0.5000


No. 6
PrTmMgPb GGA-PBE relaxed; energy of formation = -1.098 eV/f.u.; space group = F-43m, No. 216
1.0
5.4274 0.0000 0.0000
2.7137 4.7003 0.0000
2.7137 1.5668 4.4314
Pb Pr Mg Tm
1 1 1 1
direct
0.5000 0.5000 0.5000
0.2500 0.2500 0.2500
0.0000 0.0000 0.0000
0.7500 0.7500 0.7500


No. 7
CsRuBr5 GGA-PBE relaxed; formation energy from raw total energies = -14.488 kcal/mol of atoms; space group = C2/c, No. 15
1.0
7.4035 -0.5793 -2.0803
-3.5225 6.8547 -0.2823
-1.1059 -0.0461 10.7641
Cs Ru Br
2 2 10
direct
0.7503 0.5003 0.2500
0.2497 0.4997 0.7500
0.0000 0.0000 0.0000
0.5000 0.0000 0.5000
0.7053 0.9193 0.0741
0.2006 0.9170 0.5699
0.6547 0.3688 0.5741
0.2566 0.0066 0.2500
0.8471 0.6307 0.9301
0.1529 0.3693 0.0699
0.7434 0.9934 0.7500
0.3453 0.6312 0.4259
0.7994 0.0830 0.4301
0.2947 0.0807 0.9259